# 1
VASP calculation (PBE+U) on HoPuFe2O6 after structural relaxation.

As for the magnetic moment: 5.0 μB per formula unit. Its crystal system is monoclinic. For the energy, the calculation gives -8.361 eV per atom.

It has space group P2_1/c (No. 14), with a = 5.5831 Å, b = 5.6077 Å, c = 9.9172 Å, α = 90.00°, β = 123.51° and γ = 90.00°. The asymmetric unit holds Ho at (0.0000, 0.0000, 0.0000), Pu at (0.5000, 0.0000, 0.5000), Fe at (0.2276, 0.0301, 0.7463), O at (0.1210, 0.1134, 0.2522), O at (0.2442, 0.6577, 0.0735) and O at (0.4288, 0.1765, 0.0775).

---

# 2
VASP calculation (PBE+U) on RbHoFeO3 after structural relaxation.

As for the magnetic moment: 4.0 μB per formula unit. Its crystal system is monoclinic. For the energy, the calculation gives -6.508 eV per atom.

It has space group P2_1/m (No. 11), with a = 7.9200 Å, b = 3.5489 Å, c = 8.3638 Å, α = 90.00°, β = 107.41° and γ = 90.00°. The asymmetric unit holds Rb at (0.2079, 0.2500, 0.2195), Ho at (0.3440, 0.7500, 0.8590), Fe at (0.0914, 0.2500, 0.6122), O at (0.1521, 0.2500, 0.8551), O at (0.1783, 0.7500, 0.5445) and O at (0.4708, 0.7500, 0.1313).

---

# 3
VASP calculation (PBE+U) on Rb4Ho3FeO8 after structural relaxation.

As for the magnetic moment: 5.0 μB per formula unit. Its crystal system is trigonal. For the energy, the calculation gives -6.268 eV per atom.

It has space group R-3m (No. 166, hexagonal axes), with a = 6.8358 Å, b = 6.8358 Å, c = 19.5558 Å, α = 90.00°, β = 90.00° and γ = 120.00°. The asymmetric unit holds Rb at (0.0000, 0.0000, 0.0000), Rb at (0.0000, 0.5000, 0.0000), Ho at (0.0000, 0.5000, 0.5000), Fe at (0.0000, 0.0000, 0.5000), O at (0.0000, 0.0000, 0.2251) and O at (0.0154, 0.5077, 0.2239).

---

# 4
VASP calculation (PBE+U) on RbHoFeO4 after structural relaxation.

As for the magnetic moment: 4.0 μB per formula unit. Its crystal system is monoclinic. For the energy, the calculation gives -6.457 eV per atom.

It has space group P2_1/m (No. 11), with a = 5.8712 Å, b = 6.0233 Å, c = 7.6013 Å, α = 90.00°, β = 109.28° and γ = 90.00°. The asymmetric unit holds Rb at (0.2009, 0.2500, 0.4363), Ho at (0.3204, 0.2500, 0.9645), Fe at (0.2345, 0.7500, 0.1599), O at (0.0115, 0.7500, 0.9394), O at (0.0291, 0.7500, 0.2888) and O at (0.4601, 0.5234, 0.1715).

---

# 5
VASP calculation (PBE+U) on Rb2Ho2FeO6 after structural relaxation.

As for the magnetic moment: 2.1 μB per formula unit. Its crystal system is monoclinic. For the energy, the calculation gives -6.407 eV per atom.

It has space group C2/m (No. 12), with a = 5.7387 Å, b = 9.8218 Å, c = 6.8671 Å, α = 90.00°, β = 105.03° and γ = 90.00°. The asymmetric unit holds Rb at (0.0000, 0.1644, 0.0000), Ho at (0.0000, 0.3351, 0.5000), Fe at (0.0000, 0.0000, 0.5000), O at (0.1987, 0.1503, 0.6608) and O at (0.2461, 0.0000, 0.3371).

---

# 6
VASP calculation (PBE+U) on Ho2FeSbO6 after structural relaxation.

As for the magnetic moment: 3.4 μB per formula unit. Its crystal system is triclinic. For the energy, the calculation gives -7.263 eV per atom.

It has space group P1 (No. 1), with a = 5.6325 Å, b = 5.6563 Å, c = 5.8689 Å, α = 91.16°, β = 117.85° and γ = 119.57°. The asymmetric unit holds Ho at (0.0000, 0.0000, 0.0000), Ho at (0.9999, 0.4978, 0.5002), Fe at (0.5691, 0.7865, 0.3510), Sb at (0.5721, 0.2872, 0.8582), O at (0.0652, 0.4053, 0.1548), O at (0.0860, 0.1775, 0.6671), O at (0.4914, 0.0916, 0.1558), O at (0.4918, 0.9067, 0.6564), O at (0.7519, 0.6720, 0.1628) and O at (0.7541, 0.5803, 0.6670).

---

# 7
VASP calculation (PBE+U) on Sr2HoFeO5 after structural relaxation.

As for the magnetic moment: 5.0 μB per formula unit. Its crystal system is orthorhombic. For the energy, the calculation gives -6.908 eV per atom.

It has space group Cmc2_1 (No. 36), with a = 3.4276 Å, b = 14.2676 Å, c = 10.8871 Å, α = 90.00°, β = 90.00° and γ = 90.00°. The asymmetric unit holds Sr at (0.0000, 0.1174, 0.0000), Sr at (0.0000, 0.1330, 0.5720), Ho at (0.0000, 0.2175, 0.2949), Fe at (0.0000, 0.4939, 0.7631), O at (0.0000, 0.0536, 0.3243), O at (0.0000, 0.2869, 0.9341), O at (0.0000, 0.2967, 0.6604), O at (0.0000, 0.3755, 0.3069) and O at (0.0000, 0.4978, 0.0899).

---

# 8
VASP calculation (PBE+U) on HoTaFe2O6 after structural relaxation.

As for the magnetic moment: 8.0 μB per formula unit. Its crystal system is triclinic. For the energy, the calculation gives -8.216 eV per atom.

It has space group P1 (No. 1), with a = 5.4142 Å, b = 5.4146 Å, c = 5.7547 Å, α = 62.48°, β = 62.41° and γ = 60.27°. The asymmetric unit holds Ho at (0.0000, 0.0000, 0.0000), Ta at (0.4992, 0.5090, 0.4856), Fe at (0.2100, 0.2106, 0.3630), Fe at (0.7012, 0.7132, 0.8666), O at (0.1335, 0.7781, 0.6740), O at (0.3089, 0.5942, 0.2038), O at (0.4065, 0.1437, 0.6707), O at (0.5967, 0.8854, 0.1874), O at (0.7582, 0.4290, 0.6835) and O at (0.8874, 0.3093, 0.2095).

---

# 9
VASP calculation (PBE+U) on HoZrFe2O6 after structural relaxation.

As for the magnetic moment: 9.0 μB per formula unit. Its crystal system is triclinic. For the energy, the calculation gives -7.921 eV per atom.

It has space group P1 (No. 1), with a = 5.4485 Å, b = 5.4662 Å, c = 5.7029 Å, α = 117.91°, β = 90.51° and γ = 119.85°. The asymmetric unit holds Ho at (0.0000, 0.0000, 0.0000), Zr at (0.5005, 0.0006, 0.5049), Fe at (0.2183, 0.4375, 0.6515), Fe at (0.7118, 0.4233, 0.1342), O at (0.0921, 0.8866, 0.3259), O at (0.3391, 0.9349, 0.8328), O at (0.4383, 0.5336, 0.3266), O at (0.5895, 0.4947, 0.8232), O at (0.8038, 0.2382, 0.3336) and O at (0.9013, 0.2404, 0.8303).